(1)
A plane-wave DFT calculation with GGA-PBE was carried out for an optimized crystal structure of Rb2Ba5Sb3O2.

Output
uncorrected energy = -4.16 eV per atom
calculated volume = 913.9 Å³ per cell

Cell: 5.4055 5.4055 31.2769 Å, 90.00 90.00 90.00°
Closest atoms and distances in Å follow each position.
Space group I4/mmm (No. 139)
Asymmetric unit:
Rb 0.0000 0.0000 0.2097 [4 per cell]  5 Sb 3.79-4.03, 1 O 3.94
Ba 0.0000 0.0000 0.0000 [2 per cell]  2 O 2.62
Ba 0.0000 0.5000 0.0966 [8 per cell]  2 O 2.73
Sb 0.0000 0.0000 0.3308 [4 per cell]  4 Ba 3.53, 1 Rb 3.79
Sb 0.0000 0.0000 0.5000 [2 per cell]  12 Ba 3.82-4.05
O 0.0000 0.0000 0.0837 [4 per cell]  5 Ba 2.62-2.73

***

(2)
A plane-wave DFT calculation with GGA-PBE was carried out for an optimized crystal structure of RbBa3Sb2O8.

Output
uncorrected energy = -5.79 eV per atom
calculated volume = 301.6 Å³ per cell

Cell: 6.2731 6.2731 8.8501 Å, 90.00 90.00 120.00°
Closest atoms and distances in Å follow each position.
Space group P-3m1 (No. 164)
Asymmetric unit:
Rb 0.0000 0.0000 0.0000 [1 per cell]  6 O 2.78
Ba 0.0000 0.0000 0.5000 [1 per cell]  6 O 2.94
Ba 0.3333 0.6667 0.1997 [2 per cell]  1 O 2.37
Sb 0.3333 0.6667 0.6862 [2 per cell]  4 O 1.93
O 0.1665 0.3330 0.7615 [6 per cell]  1 Sb 1.93
O 0.3333 0.6667 0.4678 [2 per cell]  1 Sb 1.93

***

(3)
A plane-wave DFT calculation with GGA-PBE was carried out for an optimized crystal structure of RbBa4Sb3O12.

Output
uncorrected energy = -6.03 eV per atom
calculated volume = 642.7 Å³ per cell

Cell: 8.6300 8.6300 8.6300 Å, 90.00 90.00 90.00°
Closest atoms and distances in Å follow each position.
Space group Im-3m (No. 229)
Asymmetric unit:
Rb 0.0000 0.0000 0.0000 [2 per cell]  6 O 2.43
Ba 0.2500 0.2500 0.2500 [8 per cell]  12 O 3.05-3.06
Sb 0.0000 0.0000 0.5000 [6 per cell]  2 O 1.89
O 0.0000 0.0000 0.2815 [12 per cell]  1 Sb 1.89
O 0.0000 0.2500 0.5000 [12 per cell]  2 Sb 2.16

***

(4)
A plane-wave DFT calculation with GGA-PBE was carried out for an optimized crystal structure of RbBaSbO4.

Output
uncorrected energy = -5.62 eV per atom
calculated volume = 556.0 Å³ per cell

Cell: 6.8699 7.8439 10.3182 Å, 90.00 90.00 90.00°
Closest atoms and distances in Å follow each position.
Space group Imma (No. 74)
Asymmetric unit:
Rb 0.2500 0.2500 0.2500 [4 per cell]  6 O 2.81-2.90
Ba 0.0000 0.0000 0.0000 [4 per cell]  6 O 2.72-2.75
Sb 0.0000 0.2500 0.6329 [4 per cell]  4 O 1.91-1.94
O 0.0000 0.0471 0.7360 [8 per cell]  1 Sb 1.91
O 0.2268 0.2500 0.5215 [8 per cell]  1 Sb 1.94

***

(5)
A plane-wave DFT calculation with GGA-PBE was carried out for an optimized crystal structure of RbBa3Sb2O9.

Output
uncorrected energy = -5.88 eV per atom
calculated volume = 268.3 Å³ per cell

Cell: 5.9417 5.9417 8.7740 Å, 90.00 90.00 120.00°
Closest atoms and distances in Å follow each position.
Space group P-3m1 (No. 164)
Asymmetric unit:
Rb 0.0000 0.0000 0.0000 [1 per cell]  6 O 2.73
Ba 0.0000 0.0000 0.5000 [1 per cell]  12 O 2.90-2.97
Ba 0.3333 0.6667 0.2340 [2 per cell]  9 O 2.90-2.97
Sb 0.3333 0.6667 0.6471 [2 per cell]  6 O 1.95-2.15
O 0.0000 0.5000 0.5000 [3 per cell]  2 Sb 2.15
O 0.1719 0.3438 0.7625 [6 per cell]  1 Sb 1.95

***

(6)
A plane-wave DFT calculation with GGA-PBE was carried out for an optimized crystal structure of RbBa2Sb2O6.

Output
uncorrected energy = -5.68 eV per atom
calculated volume = 484.0 Å³ per cell

Cell: 10.8096 6.2463 8.0266 Å, 90.00 116.73 90.00°
Closest atoms and distances in Å follow each position.
Space group C2/m (No. 12)
Asymmetric unit:
Rb 0.0000 0.0000 0.0000 [2 per cell]  6 O 2.91
Ba 0.1937 0.0000 0.5800 [4 per cell]  3 O 2.65
Sb 0.0987 0.5000 0.7972 [4 per cell]  3 O 1.94
O 0.0203 0.2557 0.3144 [8 per cell]  1 Sb 1.94
O 0.2247 0.5000 0.6858 [4 per cell]  1 Sb 1.94

***

(7)
A plane-wave DFT calculation with GGA-PBE was carried out for an optimized crystal structure of Rb2BaSb2O7.

Output
uncorrected energy = -5.64 eV per atom
calculated volume = 385.6 Å³ per cell

Cell: 4.1167 4.1167 22.7537 Å, 90.00 90.00 90.00°
Closest atoms and distances in Å follow each position.
Space group I4/mmm (No. 139)
Asymmetric unit:
Rb 0.0000 0.0000 0.1927 [4 per cell]  9 O 2.93-3.21
Ba 0.0000 0.0000 0.0000 [2 per cell]  12 O 2.82-2.91
Sb 0.0000 0.0000 0.4065 [4 per cell]  6 O 1.91-2.13
O 0.0000 0.0000 0.3225 [4 per cell]  1 Sb 1.91
O 0.0000 0.0000 0.5000 [2 per cell]  2 Sb 2.13
O 0.0000 0.5000 0.0846 [8 per cell]  2 Sb 2.07

***

(8)
A plane-wave DFT calculation with GGA-PBE was carried out for an optimized crystal structure of Rb2BaScO.

Output
uncorrected energy = -3.61 eV per atom
calculated volume = 227.7 Å³ per cell

Cell: 7.5390 7.5390 4.0068 Å, 90.00 90.00 90.00°
Closest atoms and distances in Å follow each position.
Space group P4/mmm (No. 123)
Asymmetric unit:
Rb 0.0000 0.5000 0.0000 [2 per cell]  2 O 3.77, 2 Rb 4.01
Ba 0.0000 0.0000 0.5000 [1 per cell]  2 Ba 4.01, 8 Rb 4.27
Sc 0.5000 0.5000 0.5000 [1 per cell]  2 O 2.00
O 0.5000 0.5000 0.0000 [1 per cell]  2 Sc 2.00

***

Number 1: formation energy without anion corrections -1.34 eV/atom. Number 2: formation energy without anion corrections -1.88 eV/atom. Number 3: formation energy without anion corrections -2.00 eV/atom. Number 4: formation energy without anion corrections -1.78 eV/atom. Number 5: formation energy without anion corrections -1.91 eV/atom. Number 6: formation energy without anion corrections -1.79 eV/atom. Number 7: formation energy without anion corrections -1.74 eV/atom. Number 8: formation energy without anion corrections -0.58 eV/atom.